#a
A plane-wave DFT calculation with PBE was carried out for Hf3AlBi after structural relaxation.

## Properties
Crystal system: cubic
Size of the total moment in μB/f.u.: 0.0
Fermi-level density of states in states/eV/f.u.: 4.73
Space group: Pm-3m (221)

POSCAR file:
```
Hf3AlBi
1.0
-5.2103 0.9747 -0.2369
-0.9130 -4.0890 3.2557
0.4155 3.2378 4.1830
Hf Bi Al
3 1 1
direct
0.0000 0.5000 0.0000 Hf
0.0000 0.0000 0.5000 Hf
0.5000 0.0000 0.0000 Hf
0.0000 0.0000 0.0000 Bi
0.5000 0.5000 0.5000 Al
```

#b
A plane-wave DFT calculation with PBE was carried out for Hf3AlBi after structural relaxation.

## Properties
Crystal system: cubic
Size of the total moment in μB/f.u.: 0.0
Fermi-level density of states in states/eV/f.u.: 5.27
Space group: Pm-3m (221)

POSCAR file:
```
Hf3AlBi
1.0
5.0067 0.0000 0.0000
0.0000 5.0067 0.0000
0.0000 0.0000 5.0067
Hf Bi Al
3 1 1
direct
0.0000 0.5000 0.0000 Hf
0.0000 0.0000 0.5000 Hf
0.5000 0.0000 0.0000 Hf
0.5000 0.5000 0.5000 Bi
0.0000 0.0000 0.0000 Al
```

Ordering by calculated energy gives the sequence #b, #a, with the first entry being the most stable.

#a
A plane-wave DFT calculation with PBE was carried out for Hf2AlBi after structural relaxation.

## Properties
Crystal system: cubic
Size of the total moment in μB/f.u.: 0.0
Fermi-level density of states in states/eV/f.u.: 3.61
Space group: Fm-3m (225)

POSCAR file:
```
Hf2AlBi
1.0
0.0000 3.5233 3.5233
3.5233 0.0000 3.5233
3.5233 3.5233 0.0000
Hf Bi Al
2 1 1
direct
0.2500 0.2500 0.2500 Hf
0.7500 0.7500 0.7500 Hf
0.5000 0.5000 0.5000 Bi
0.0000 0.0000 0.0000 Al
```

#b
A plane-wave DFT calculation with PBE was carried out for Hf2AlBi after structural relaxation.

## Properties
Crystal system: tetragonal
Size of the total moment in μB/f.u.: 0.0
Fermi-level density of states in states/eV/f.u.: 2.21
Space group: I-42d (122)

POSCAR file:
```
Hf2AlBi
1.0
-3.7048 2.0721 0.0552
-1.5560 -2.8548 2.7296
0.7896 5.5070 9.5109
Hf Bi Al
4 2 2
direct
0.6202 0.1250 0.2500 Hf
0.1298 0.6250 0.2500 Hf
0.3750 0.3798 0.7500 Hf
0.8750 0.8702 0.7500 Hf
0.0000 0.0000 0.0000 Bi
0.7500 0.2500 0.5000 Bi
0.5000 0.5000 0.0000 Al
0.2500 0.7500 0.5000 Al
```

Ordering by calculated energy gives the sequence #a, #b, with the first entry being the most stable.

#a
A plane-wave DFT calculation with PBE was carried out for Hf2Al2Bi after structural relaxation.

## Properties
Crystal system: tetragonal
Size of the total moment in μB/f.u.: 0.0
Fermi-level density of states in states/eV/f.u.: 3.76
Space group: P4/mbm (127)

POSCAR file:
```
Hf2Al2Bi
1.0
7.4102 0.0000 0.0000
0.0000 7.4102 0.0000
0.0000 0.0000 3.8404
Hf Bi Al
4 2 4
direct
0.1778 0.6778 0.5000 Hf
0.6778 0.8222 0.5000 Hf
0.8222 0.3222 0.5000 Hf
0.3222 0.1778 0.5000 Hf
0.0000 0.0000 0.0000 Bi
0.5000 0.5000 0.0000 Bi
0.3814 0.8814 0.0000 Al
0.8814 0.6186 0.0000 Al
0.6186 0.1186 0.0000 Al
0.1186 0.3814 0.0000 Al
```

#b
A plane-wave DFT calculation with PBE was carried out for Hf2Al2Bi after structural relaxation.

## Properties
Crystal system: tetragonal
Size of the total moment in μB/f.u.: 0.0
Fermi-level density of states in states/eV/f.u.: 2.16
Space group: P4/mbm (127)

POSCAR file:
```
Hf2Al2Bi
1.0
-3.5571 -3.2539 -5.6521
-2.0051 -5.5807 4.4746
-3.3877 2.0024 0.9793
Hf Bi Al
4 2 4
direct
0.3484 0.8484 0.0000 Hf
0.8484 0.6516 0.0000 Hf
0.6516 0.1516 0.0000 Hf
0.1516 0.3484 0.0000 Hf
0.0000 0.0000 0.0000 Bi
0.5000 0.5000 0.0000 Bi
0.1379 0.6379 0.5000 Al
0.6379 0.8621 0.5000 Al
0.8621 0.3621 0.5000 Al
0.3621 0.1379 0.5000 Al
```

Ordering by calculated energy gives the sequence #a, #b, with the first entry being the most stable.

#a
A plane-wave DFT calculation with PBE was carried out for Al2HgBi after structural relaxation.

## Properties
Crystal system: cubic
Size of the total moment in μB/f.u.: 0.0
Fermi-level density of states in states/eV/f.u.: 1.94
Space group: Fm-3m (225)

POSCAR file:
```
Al2HgBi
1.0
0.0000 3.6488 3.6488
3.6488 0.0000 3.6488
3.6488 3.6488 0.0000
Al Bi Hg
2 1 1
direct
0.2500 0.2500 0.2500 Al
0.7500 0.7500 0.7500 Al
0.5000 0.5000 0.5000 Bi
0.0000 0.0000 0.0000 Hg
```

#b
A plane-wave DFT calculation with PBE was carried out for Al2HgBi after structural relaxation.

## Properties
Crystal system: tetragonal
Size of the total moment in μB/f.u.: 0.0
Fermi-level density of states in states/eV/f.u.: 1.59
Space group: I-42d (122)

POSCAR file:
```
Al2HgBi
1.0
-5.0433 -3.8526 -2.1913
4.4213 -4.1407 -2.8959
-0.0577 -6.9503 2.0663
Al Bi Hg
4 2 2
direct
0.6109 0.1250 0.2500 Al
0.1391 0.6250 0.2500 Al
0.3750 0.3891 0.7500 Al
0.8750 0.8609 0.7500 Al
0.0000 0.0000 0.0000 Bi
0.7500 0.2500 0.5000 Bi
0.5000 0.5000 0.0000 Hg
0.2500 0.7500 0.5000 Hg
```

Ordering by calculated energy gives the sequence #a, #b, with the first entry being the most stable.